Entry 1:
VASP calculation (PBE) on a relaxed AlRhCl crystal.

E_form (uncorrected): -0.352 eV/atom
polymorph energy (0 for the lowest one): 194 meV/atom

abc: 6.792 6.499 3.035
angles: 82.25 71.47 26.28
Element x y z (fractional)
1 Al 0.004 0.004 0.996
2 Rh 0.636 0.636 0.364
3 Cl 0.360 0.360 0.640


Entry 2:
VASP calculation (PBE) on a relaxed Al2RhCl crystal.

E_form (uncorrected): -0.620 eV/atom
polymorph energy (0 for the lowest one): 188 meV/atom

abc: 7.758 7.758 7.758
angles: 23.78 23.78 23.78
Element x y z (fractional)
1 Al 0.491 0.491 0.491
2 Al 0.009 0.009 0.009
3 Cl 0.250 0.250 0.250
4 Rh 0.750 0.750 0.750


Entry 3:
VASP calculation (PBE) on a relaxed Al3RhCl crystal.

E_form (uncorrected): 0.808 eV/atom
polymorph energy (0 for the lowest one): 1259 meV/atom

abc: 4.601 4.601 4.601
angles: 90.00 90.00 90.00
Element x y z (fractional)
1 Al 0.000 0.500 0.000
2 Al 0.500 0.000 0.000
3 Al 0.000 0.000 0.500
4 Rh 0.500 0.500 0.500
5 Cl 0.000 0.000 0.000


| no. | calculated total energy (eV per atom) |
| --- | --- |
| 1 | -4.665 |
| 2 | -4.790 |
| 3 | -3.277 |